1.
La5Mn: PBEsol geometry, SCAN.

Computed properties:
Energy above the most stable polymorph in this dataset ... 0 meV per atom
E_form ... 0.26 eV per formula unit
Electronic total energy ... -38.919 eV/atom
Crystal system ... hexagonal

```
data_La5Mn
_chemical_formula_sum 'La5 Mn1'
_space_group_name_H-M_alt 'P -6 2 m'
_space_group_IT_number 189
_space_group_name_Hall 'P -6 -2'
_cell_length_a 6.1061
_cell_length_b 6.1061
_cell_length_c 5.5085
_cell_angle_alpha 90.00
_cell_angle_beta 90.00
_cell_angle_gamma 120.00
loop_
_atom_site_label
_atom_site_type_symbol
_atom_site_fract_x
_atom_site_fract_y
_atom_site_fract_z
La1 La 0.0000 0.7029 0.0000
La2 La 0.3333 0.6667 0.5000
Mn1 Mn 0.0000 0.0000 0.5000
```



2.
ReHg2W: PBEsol geometry, SCAN.

Computed properties:
Energy above the most stable polymorph in this dataset ... 87 meV per atom
E_form ... 3.86 eV per formula unit
Electronic total energy ... -68.314 eV/atom
Crystal system ... monoclinic

```
data_ReHg2W
_chemical_formula_sum 'Re1 Hg2 W1'
_space_group_name_H-M_alt 'P 1 2/m 1'
_space_group_IT_number 10
_space_group_name_Hall '-P 2y'
_cell_length_a 2.797
_cell_length_b 4.872
_cell_length_c 5.114
_cell_angle_alpha 90.00
_cell_angle_beta 95.16
_cell_angle_gamma 90.00
loop_
_atom_site_label
_atom_site_type_symbol
_atom_site_fract_x
_atom_site_fract_y
_atom_site_fract_z
Re1 Re 0.000 0.000 0.000
Hg1 Hg 0.233 0.500 0.751
W1 W 0.500 0.000 0.500
```



3.
NaReNF2: PBEsol geometry, SCAN.

Computed properties:
Energy relative to the elements, uncorrected ... 1.7 eV/f.u.
Electronic total energy ... -17.997 eV/atom
Crystal system ... tetragonal

```
data_NaReNF2
_chemical_formula_sum 'Na1 Re1 N1 F2'
_space_group_name_H-M_alt 'P 4/m m m'
_space_group_IT_number 123
_space_group_name_Hall '-P 4 2'
_cell_length_a 3.706
_cell_length_b 3.706
_cell_length_c 4.452
_cell_angle_alpha 90.00
_cell_angle_beta 90.00
_cell_angle_gamma 90.00
loop_
_atom_site_label
_atom_site_type_symbol
_atom_site_fract_x
_atom_site_fract_y
_atom_site_fract_z
Na1 Na 0.000 0.000 0.000
Re1 Re 0.500 0.500 0.500
N1 N 0.000 0.000 0.500
F1 F 0.000 0.500 0.000
```



4.
Li2TaIr: PBEsol geometry, SCAN.

Computed properties:
E_form ... 0.38 eV per formula unit
Electronic total energy ... -35.521 eV/atom
Crystal system ... orthorhombic

```
data_Li2TaIr
_chemical_formula_sum 'Li4 Ta2 Ir2'
_space_group_name_H-M_alt 'C m m m'
_space_group_IT_number 65
_space_group_name_Hall '-C 2 2'
_cell_length_a 5.005
_cell_length_b 9.042
_cell_length_c 2.647
_cell_angle_alpha 90.00
_cell_angle_beta 90.00
_cell_angle_gamma 90.00
loop_
_atom_site_label
_atom_site_type_symbol
_atom_site_fract_x
_atom_site_fract_y
_atom_site_fract_z
Li1 Li 0.250 0.250 0.000
Ta1 Ta 0.000 0.000 0.500
Ir1 Ir 0.000 0.500 0.500
```